1.
The following is a GGA-PBE calculation of an optimized crystal structure of Al2CdAg4, from Alexandria via LeMat-Bulk.

Summary:
- E_form (eV per atom) = -0.02
- Fermi-level density of states (states/eV/cell) = 2.70
- E above lowest polymorph (meV per atom) = 0.0

a b c (Å): 2.9851 2.9851 16.0145
angles (deg): 90.05 90.05 60.73
Positions (direct):
Al1 0.0000 0.0000 0.0000
Al2 0.0037 0.0037 0.2743
Cd1 0.0086 0.0086 0.5646
Ag1 0.3345 0.3345 0.1364
Ag2 0.3345 0.3345 0.8668
Ag3 0.6723 0.6723 0.4093
Ag4 0.6734 0.6734 0.7179

=====

2.
The following is a GGA-PBE calculation of an optimized crystal structure of AlCd2Ag8, from Alexandria via LeMat-Bulk.

Summary:
- E_form (eV per atom) = -0.03
- Fermi-level density of states (states/eV/cell) = 2.84
- E above lowest polymorph (meV per atom) = 0.0

a b c (Å): 7.7885 7.7885 6.5884
angles (deg): 105.56 105.56 31.31
Positions (direct):
Al1 0.0000 0.0000 0.0000
Cd1 0.2777 0.2777 0.3585
Cd2 0.7223 0.7223 0.6415
Ag1 0.0882 0.0882 0.4417
Ag2 0.1769 0.1769 0.9103
Ag3 0.3656 0.3656 0.8243
Ag4 0.4575 0.4575 0.2697
Ag5 0.5425 0.5425 0.7303
Ag6 0.6344 0.6344 0.1757
Ag7 0.8231 0.8231 0.0897
Ag8 0.9118 0.9118 0.5583

=====

3.
The following is a GGA-PBE calculation of an optimized crystal structure of AlCd2Ag6, from Alexandria via LeMat-Bulk.

Summary:
- E_form (eV per atom) = -0.02
- Fermi-level density of states (states/eV/cell) = 5.87
- E above lowest polymorph (meV per atom) = 0.0

a b c (Å): 8.7588 8.7588 4.2892
angles (deg): 90.00 90.00 90.00
Positions (direct):
Al1 0.0000 0.0000 0.0000
Al2 0.5000 0.5000 0.5000
Cd1 0.1836 0.1836 0.5000
Cd2 0.3164 0.6836 0.0000
Cd3 0.6836 0.3164 0.0000
Cd4 0.8164 0.8164 0.5000
Ag1 0.0125 0.3313 0.0000
Ag2 0.1457 0.8543 0.5000
Ag3 0.1687 0.5125 0.5000
Ag4 0.3313 0.0125 0.0000
Ag5 0.3543 0.3543 0.0000
Ag6 0.4875 0.8313 0.5000
Ag7 0.5125 0.1687 0.5000
Ag8 0.6457 0.6457 0.0000
Ag9 0.6687 0.9875 0.0000
Ag10 0.8313 0.4875 0.5000
Ag11 0.8543 0.1457 0.5000
Ag12 0.9875 0.6687 0.0000